# Sc2ZnSi2Ni5 GGA-PBE optimized geometry
data_Sc2ZnSi2Ni5
_chemical_formula_sum 'Sc4 Zn2 Si4 Ni10'
_symmetry_space_group_name_H-M 'P 1'
_symmetry_Int_Tables_number 1
_symmetry_space_group_name_Hall 'P 1'
_cell_length_a 3.315
_cell_length_b 9.114
_cell_length_c 9.114
_cell_angle_alpha 90.00
_cell_angle_beta 90.00
_cell_angle_gamma 90.00
loop_
_atom_site_label
_atom_site_type_symbol
_atom_site_fract_x
_atom_site_fract_y
_atom_site_fract_z
Ni1 Ni 0.500 0.500 0.000
Si1 Si 0.000 0.123 0.623
Ni2 Ni 0.500 0.288 0.563
Sc1 Sc 0.000 0.325 0.825
Ni3 Ni 0.500 0.063 0.788
Ni4 Ni 0.500 0.788 0.937
Ni5 Ni 0.500 0.712 0.437
Si2 Si 0.000 0.623 0.877
Sc2 Sc 0.000 0.675 0.175
Si3 Si 0.000 0.377 0.123
Zn1 Zn 0.000 0.500 0.500
Sc3 Sc 0.000 0.175 0.325
Si4 Si 0.000 0.877 0.377
Ni6 Ni 0.500 0.937 0.212
Sc4 Sc 0.000 0.825 0.675
Ni7 Ni 0.500 0.563 0.712
Zn2 Zn 0.000 0.000 0.000
Ni8 Ni 0.500 0.212 0.063
Ni9 Ni 0.500 0.000 0.500
Ni10 Ni 0.500 0.437 0.288
# total magnetic moment = 0.00 μB per formula unit
# VASP energy = -117.7 eV/cell
# formation energy from raw total energies = -0.5146 eV/atom
# space-group type = P4/mbm